KCd2GaP | GGA-PBE | relaxed

Geometry as POSCAR:
```
KCd2GaP
1.0
-2.710 0.747 4.340
-4.179 -3.765 -1.962
2.497 -3.937 2.237
K Ga Cd P
1 1 2 1
Direct
0.000 0.500 0.000
0.500 0.500 0.500
0.000 0.000 0.500
0.500 0.000 0.000
0.000 0.000 0.000
```

Results
The total energy comes out at -10.00 eV for the cell shown. The value obtained for the total magnetic moment is 0.0 μB/f.u.

Nd12Ho5Tm2 | GGA-PBE | relaxed

Geometry as POSCAR:
```
Nd12Ho5Tm2
1.0
10.660 0.000 0.000
-5.330 7.559 -0.148
0.000 0.750 8.053
Nd Tm Ho
12 2 5
Direct
0.555 0.111 0.288
0.409 0.368 0.208
0.959 0.368 0.208
0.379 0.213 0.616
0.041 0.632 0.792
0.591 0.632 0.792
0.445 0.889 0.712
0.871 0.741 0.104
0.129 0.259 0.896
0.166 0.787 0.384
0.621 0.787 0.384
0.834 0.213 0.616
0.272 0.000 0.000
0.728 0.000 0.000
0.000 0.000 0.500
0.759 0.517 0.487
0.344 0.687 0.097
0.241 0.483 0.513
0.656 0.313 0.903
```

Results
The polymorph energy (0 for the lowest one) comes out at 0.031 eV/atom. The value obtained for the total magnetic moment is 0.0 μB/f.u.

Er13Co2 | GGA-PBE | relaxed

Geometry as POSCAR:
```
Er13Co2
1.0
6.229 -0.097 0.263
-0.906 7.957 -0.034
-0.309 -4.024 8.646
Er Co
13 2
Direct
0.833 0.068 0.387
0.775 0.617 0.070
0.938 0.526 0.688
0.598 0.679 0.448
0.000 0.000 0.000
0.453 0.770 0.851
0.547 0.230 0.149
0.062 0.474 0.312
0.689 0.160 0.772
0.402 0.321 0.552
0.225 0.383 0.930
0.311 0.840 0.228
0.167 0.932 0.613
0.196 0.165 0.282
0.804 0.835 0.718
```

Results
The total energy comes out at -74.07 eV for the cell shown. The value obtained for the total magnetic moment is 0.0 μB/f.u.

ErTlO2 | GGA-PBE | relaxed

Geometry as POSCAR:
```
ErTlO2
1.0
3.472 0.000 0.000
1.736 3.007 0.000
1.736 1.002 6.726
O Er Tl
2 1 1
Direct
0.286 0.286 0.142
0.063 0.063 0.812
0.665 0.665 0.004
0.486 0.486 0.542
```

Results
The energy relative to the elements, uncorrected is -2383 meV/atom. The polymorph energy (0 for the lowest one) comes out at 0.012 eV/atom. The value obtained for the total magnetic moment is 0.0 μB/f.u.

Er2SnHg3 | GGA-PBE | relaxed

Geometry as POSCAR:
```
Er2SnHg3
1.0
-4.173 3.369 -2.791
-1.817 -2.727 -5.081
-3.153 -4.331 8.287
Er Hg Sn
4 6 2
Direct
0.250 0.750 0.500
0.246 0.754 0.000
0.750 0.250 0.500
0.754 0.246 0.000
0.668 0.668 0.834
0.332 0.332 0.166
0.166 0.166 0.834
0.835 0.835 0.669
0.834 0.834 0.166
0.165 0.165 0.331
0.665 0.665 0.331
0.335 0.335 0.669
```

Results
The polymorph energy (0 for the lowest one) comes out at 0.031 eV/atom. The value obtained for the total magnetic moment is 0.0 μB/f.u.

InSeS | GGA-PBE | relaxed

Geometry as POSCAR:
```
InSeS
1.0
-3.360 -5.861 0.645
6.704 -4.253 -3.722
2.170 -0.935 4.977
S In Se
4 4 4
Direct
0.085 0.664 0.344
0.915 0.336 0.656
0.585 0.836 0.344
0.415 0.164 0.656
0.255 0.427 0.527
0.245 0.927 0.473
0.755 0.073 0.527
0.745 0.573 0.473
0.535 0.405 0.149
0.465 0.595 0.851
0.965 0.905 0.851
0.035 0.095 0.149
```

Results
The energy relative to the elements, uncorrected is -371 meV/atom. The polymorph energy (0 for the lowest one) comes out at 0.000 eV/atom. The value obtained for the total magnetic moment is 0.0 μB/f.u.